Entry 1:
An optimized crystal structure of LiPm5Cu4, computed with PBE.

Lattice parameters (Å, degrees): 3.584 3.584 18.331 90.00 90.00 90.00
Fractional coordinates of all 10 atoms:
Li1 0.000 0.000 0.000
Pm1 0.500 0.500 0.114
Pm2 0.500 0.500 0.306
Pm3 0.500 0.500 0.500
Pm4 0.500 0.500 0.694
Pm5 0.500 0.500 0.886
Cu1 0.000 0.000 0.205
Cu2 0.000 0.000 0.403
Cu3 0.000 0.000 0.597
Cu4 0.000 0.000 0.795

Values from the calculation:
ΔE_f: -108.3 meV per atom
crystal system: tetragonal

---

Entry 2:
An optimized crystal structure of Li7B8C8, computed with PBE.

Lattice parameters (Å, degrees): 4.728 5.473 7.640 79.67 72.07 90.00
Fractional coordinates of all 23 atoms:
Li1 0.000 0.000 0.000
Li2 0.249 0.624 0.500
Li3 0.251 0.126 0.501
Li4 0.500 0.259 0.000
Li5 0.500 0.741 0.000
Li6 0.749 0.874 0.499
Li7 0.751 0.376 0.500
B1 0.038 0.190 0.249
B2 0.038 0.686 0.249
B3 0.460 0.563 0.747
B4 0.462 0.063 0.747
B5 0.538 0.937 0.253
B6 0.540 0.437 0.253
B7 0.962 0.314 0.751
B8 0.962 0.810 0.751
C1 0.205 0.436 0.254
C2 0.205 0.938 0.248
C3 0.297 0.313 0.745
C4 0.297 0.814 0.745
C5 0.703 0.186 0.255
C6 0.703 0.687 0.255
C7 0.795 0.062 0.752
C8 0.795 0.564 0.746

Values from the calculation:
E above lowest polymorph: 0.3 meV per atom
ΔE_f: -312.2 meV per atom
crystal system: triclinic

---

Entry 3:
An optimized crystal structure of YAlRuRh2, computed with PBE.

Lattice parameters (Å, degrees): 4.795 4.795 4.525 90.00 90.00 90.00
Fractional coordinates of all 5 atoms:
Y1 0.000 0.000 0.000
Al1 0.500 0.500 0.000
Ru1 0.500 0.500 0.500
Rh1 0.000 0.500 0.500
Rh2 0.500 0.000 0.500

Values from the calculation:
ΔE_f: 282.3 meV per atom
crystal system: tetragonal

---

Entry 4:
An optimized crystal structure of ScAg2Hg3, computed with PBE.

Lattice parameters (Å, degrees): 8.168 8.168 5.459 90.00 90.00 134.19
Fractional coordinates of all 12 atoms:
Sc1 0.156 0.844 0.750
Sc2 0.844 0.156 0.250
Ag1 0.224 0.224 0.000
Ag2 0.224 0.224 0.500
Ag3 0.776 0.776 0.000
Ag4 0.776 0.776 0.500
Hg1 0.067 0.419 0.750
Hg2 0.370 0.630 0.250
Hg3 0.419 0.067 0.250
Hg4 0.581 0.933 0.750
Hg5 0.630 0.370 0.750
Hg6 0.933 0.581 0.250

Values from the calculation:
E above lowest polymorph: 0.0 meV per atom
ΔE_f: -71.4 meV per atom
crystal system: orthorhombic

---

Entry 5:
An optimized crystal structure of SmScGaPt, computed with PBE.

Lattice parameters (Å, degrees): 4.929 4.929 4.929 60.00 60.00 60.00
Fractional coordinates of all 4 atoms:
Sm1 0.000 0.000 0.000
Sc1 0.500 0.500 0.500
Ga1 0.750 0.750 0.750
Pt1 0.250 0.250 0.250

Values from the calculation:
E above lowest polymorph: 60.3 meV per atom
ΔE_f: -799.2 meV per atom
crystal system: cubic

---

Entry 6:
An optimized crystal structure of KTe2OsI, computed with PBE.

Lattice parameters (Å, degrees): 6.376 6.376 6.267 90.00 90.00 90.00
Fractional coordinates of all 5 atoms:
K1 0.000 0.000 0.000
Te1 0.000 0.500 0.000
Te2 0.500 0.000 0.000
Os1 0.500 0.500 0.500
I1 0.000 0.000 0.500

Values from the calculation:
E above lowest polymorph: 1755.7 meV per atom
crystal system: tetragonal
ΔE_f (raw): 1840 meV per atom

---

Entry 7:
An optimized crystal structure of Be2TlPb, computed with PBE.

Lattice parameters (Å, degrees): 6.087 6.087 6.087 111.79 111.79 104.94
Fractional coordinates of all 8 atoms:
Be1 0.121 0.625 0.996
Be2 0.375 0.371 0.496
Be3 0.629 0.125 0.004
Be4 0.875 0.879 0.504
Tl1 0.000 0.000 0.000
Tl2 0.750 0.250 0.500
Pb1 0.250 0.750 0.500
Pb2 0.500 0.500 0.000

Values from the calculation:
E above lowest polymorph: 312.3 meV per atom
ΔE_f: 824.8 meV per atom
crystal system: tetragonal

---

Entry 8:
An optimized crystal structure of NbZnTe3, computed with PBE.

Lattice parameters (Å, degrees): 5.164 5.164 5.164 90.00 90.00 90.00
Fractional coordinates of all 5 atoms:
Nb1 0.000 0.000 0.000
Zn1 0.500 0.500 0.500
Te1 0.000 0.500 0.500
Te2 0.500 0.000 0.500
Te3 0.500 0.500 0.000

Values from the calculation:
E above lowest polymorph: 715.6 meV per atom
crystal system: cubic
ΔE_f (raw): 926 meV per atom

---

Entry 9:
An optimized crystal structure of Sn5Sb2Au, computed with PBE.

Lattice parameters (Å, degrees): 7.762 7.762 6.812 115.99 115.99 52.05
Fractional coordinates of all 8 atoms:
Sn1 0.000 0.000 0.000
Sn2 0.423 0.955 0.953
Sn3 0.425 0.957 0.422
Sn4 0.955 0.423 0.953
Sn5 0.957 0.425 0.422
Sb1 0.028 0.028 0.524
Sb2 0.528 0.528 0.027
Au1 0.777 0.777 0.776

Values from the calculation:
crystal system: monoclinic
ΔE_f (raw): 143 meV per atom

---

Entry 10:
An optimized crystal structure of YAl2Bi2, computed with PBE.

Lattice parameters (Å, degrees): 7.317 7.317 7.317 143.09 143.09 53.19
Fractional coordinates of all 5 atoms:
Y1 0.000 0.000 0.000
Al1 0.407 0.407 0.000
Al2 0.593 0.593 0.000
Bi1 0.250 0.750 0.500
Bi2 0.750 0.250 0.500

Values from the calculation:
E above lowest polymorph: 183.7 meV per atom
ΔE_f: 96.7 meV per atom
crystal system: tetragonal

---

Entry 11:
An optimized crystal structure of ReBi, computed with PBE.

Lattice parameters (Å, degrees): 4.070 4.070 4.070 60.00 60.00 60.00
Fractional coordinates of all 2 atoms:
Re1 0.000 0.000 0.000
Bi1 0.500 0.500 0.500

Values from the calculation:
E above lowest polymorph: 1130.5 meV per atom
ΔE_f: 1687.8 meV per atom
crystal system: cubic

---

Entry 12:
An optimized crystal structure of NbCu, computed with PBE.

Lattice parameters (Å, degrees): 3.632 3.632 3.632 60.00 60.00 60.00
Fractional coordinates of all 2 atoms:
Nb1 0.000 0.000 0.000
Cu1 0.500 0.500 0.500

Values from the calculation:
ΔE_f: 738.1 meV per atom
crystal system: cubic

---

Entry 13:
An optimized crystal structure of Tc2GeS, computed with PBE.

Lattice parameters (Å, degrees): 6.532 6.532 6.532 130.84 130.84 72.07
Fractional coordinates of all 8 atoms:
Tc1 0.094 0.625 0.969
Tc2 0.375 0.344 0.469
Tc3 0.656 0.125 0.031
Tc4 0.875 0.906 0.531
Ge1 0.250 0.750 0.500
Ge2 0.500 0.500 0.000
S1 0.000 0.000 0.000
S2 0.750 0.250 0.500

Values from the calculation:
E above lowest polymorph: 262.0 meV per atom
crystal system: tetragonal
ΔE_f (raw): 333 meV per atom

---

Entry 14:
An optimized crystal structure of TbCe2Hg4Pb, computed with PBE.

Lattice parameters (Å, degrees): 9.427 9.427 9.427 32.74 32.74 32.74
Fractional coordinates of all 8 atoms:
Tb1 0.000 0.000 0.000
Ce1 0.241 0.241 0.241
Ce2 0.759 0.759 0.759
Hg1 0.118 0.118 0.118
Hg2 0.366 0.366 0.366
Hg3 0.634 0.634 0.634
Hg4 0.882 0.882 0.882
Pb1 0.500 0.500 0.500

Values from the calculation:
ΔE_f: -356.6 meV per atom
crystal system: trigonal

---

Entry 15:
An optimized crystal structure of Pm2SmDy4Tm2, computed with PBE.

Lattice parameters (Å, degrees): 6.001 6.614 8.593 80.06 70.44 64.80
Fractional coordinates of all 9 atoms:
Pm1 0.231 0.326 0.344
Pm2 0.769 0.674 0.656
Sm1 0.500 0.000 0.000
Dy1 0.121 0.130 0.758
Dy2 0.237 0.580 0.884
Dy3 0.763 0.420 0.116
Dy4 0.879 0.870 0.242
Tm1 0.319 0.770 0.446
Tm2 0.681 0.230 0.554

Values from the calculation:
ΔE_f: 79.6 meV per atom
crystal system: triclinic

---

Entry 16:
An optimized crystal structure of AcSn2Au4, computed with PBE.

Lattice parameters (Å, degrees): 19.013 4.928 7.015 90.00 90.00 90.00
Fractional coordinates of all 28 atoms:
Ac1 0.137 0.250 0.003
Ac2 0.363 0.750 0.503
Ac3 0.637 0.250 0.497
Ac4 0.863 0.750 0.997
Sn1 0.036 0.750 0.752
Sn2 0.223 0.250 0.499
Sn3 0.277 0.750 0.999
Sn4 0.464 0.250 0.252
Sn5 0.536 0.750 0.748
Sn6 0.723 0.250 0.001
Sn7 0.777 0.750 0.501
Sn8 0.964 0.250 0.248
Au1 0.034 0.750 0.193
Au2 0.077 0.250 0.508
Au3 0.179 0.750 0.295
Au4 0.183 0.750 0.698
Au5 0.317 0.250 0.198
Au6 0.321 0.250 0.795
Au7 0.423 0.750 0.008
Au8 0.466 0.250 0.693
Au9 0.534 0.750 0.307
Au10 0.577 0.250 0.992
Au11 0.679 0.750 0.205
Au12 0.683 0.750 0.802
Au13 0.817 0.250 0.302
Au14 0.821 0.250 0.705
Au15 0.923 0.750 0.492
Au16 0.966 0.250 0.807

Values from the calculation:
E above lowest polymorph: 0.0 meV per atom
ΔE_f: -474.2 meV per atom
crystal system: orthorhombic

---

Entry 17:
An optimized crystal structure of CdIn4Pb2, computed with PBE.

Lattice parameters (Å, degrees): 9.143 9.143 4.736 90.00 90.00 144.95
Fractional coordinates of all 7 atoms:
Cd1 0.000 0.000 0.000
In1 0.103 0.897 0.500
In2 0.412 0.588 0.000
In3 0.588 0.412 0.000
In4 0.897 0.103 0.500
Pb1 0.299 0.701 0.500
Pb2 0.701 0.299 0.500

Values from the calculation:
E above lowest polymorph: 56.1 meV per atom
ΔE_f: 127.3 meV per atom
crystal system: orthorhombic

---

Entry 18:
An optimized crystal structure of ScCo, computed with PBE.

Lattice parameters (Å, degrees): 2.956 4.099 5.210 90.00 90.00 90.00
Fractional coordinates of all 4 atoms:
Sc1 0.250 0.250 0.189
Sc2 0.750 0.750 0.811
Co1 0.250 0.250 0.668
Co2 0.750 0.750 0.332

Values from the calculation:
ΔE_f: -55.3 meV per atom
crystal system: orthorhombic

---

Entry 19:
An optimized crystal structure of Pm2NdY7, computed with PBE.

Lattice parameters (Å, degrees): 9.277 9.277 5.582 90.00 90.00 123.59
Fractional coordinates of all 10 atoms:
Pm1 0.203 0.797 0.000
Pm2 0.797 0.203 0.000
Nd1 0.500 0.500 0.500
Y1 0.000 0.000 0.000
Y2 0.208 0.437 0.000
Y3 0.282 0.718 0.500
Y4 0.437 0.208 0.000
Y5 0.563 0.792 0.000
Y6 0.718 0.282 0.500
Y7 0.792 0.563 0.000

Values from the calculation:
E above lowest polymorph: 668.9 meV per atom
ΔE_f: 686.4 meV per atom
crystal system: orthorhombic

---

Entry 20:
An optimized crystal structure of Tm4AlTl2, computed with PBE.

Lattice parameters (Å, degrees): 7.074 6.536 8.797 90.00 108.27 90.00
Fractional coordinates of all 14 atoms:
Tm1 0.083 0.250 0.042
Tm2 0.176 0.002 0.720
Tm3 0.176 0.498 0.720
Tm4 0.312 0.750 0.353
Tm5 0.688 0.250 0.647
Tm6 0.824 0.502 0.280
Tm7 0.824 0.998 0.280
Tm8 0.917 0.750 0.958
Al1 0.488 0.250 0.284
Al2 0.512 0.750 0.716
Tl1 0.212 0.250 0.433
Tl2 0.433 0.750 0.040
Tl3 0.567 0.250 0.960
Tl4 0.788 0.750 0.567

Values from the calculation:
E above lowest polymorph: 59.5 meV per atom
ΔE_f: -107.0 meV per atom
crystal system: monoclinic